First-principles (SCAN) data for Y2ZrAl at its PBEsol-relaxed geometry, as listed in Alexandria.

Unit cell a=5.1061 b=5.1061 c=5.1061 alpha=60.00 beta=60.00 gamma=60.00
With the nearest neighbours (Å) after each atom.
Atoms (fractional coordinates):
1 Y 0.0000 0.0000 0.0000  4 Zr 3.13, 4 Y 3.13
2 Y 0.2500 0.2500 0.2500  4 Al 3.13, 4 Y 3.13
3 Zr 0.7500 0.7500 0.7500  4 Al 3.13, 4 Y 3.13
4 Al 0.5000 0.5000 0.5000  4 Zr 3.13, 4 Y 3.13

Properties
total moment = 0.00 μB per atom
formation energy from the elements = 0.020 eV/atom
space-group type = F-43m (216)

First-principles (SCAN) data for CdC2F at its PBEsol-relaxed geometry, as listed in Alexandria.

Unit cell a=11.4090 b=11.4090 c=11.4090 alpha=165.15 beta=165.15 gamma=21.06
With the nearest neighbours (Å) after each atom.
Atoms (fractional coordinates):
1 Cd 0.3750 0.6250 0.7500  4 F 2.08
2 Cd 0.6250 0.3750 0.2500  4 F 2.08
3 C 0.0000 0.0000 0.0000  2 C 1.47
4 C 0.0000 0.0000 0.5000  2 C 1.47
5 C 0.0000 0.5000 0.0000  2 C 1.47
6 C 0.5000 0.0000 0.5000  2 C 1.47
7 F 0.1250 0.8750 0.2500  4 Cd 2.08
8 F 0.8750 0.1250 0.7500  4 Cd 2.08

Properties
total moment = 0.00 μB per atom
space-group type = I4_1/amd (141)
calculated total energy = -102.70 eV for the cell shown

First-principles (SCAN) data for CsBF2 at its PBEsol-relaxed geometry, as listed in Alexandria.

Unit cell a=6.8591 b=6.8591 c=6.8591 alpha=133.82 beta=133.82 gamma=67.37
With the nearest neighbours (Å) after each atom.
Atoms (fractional coordinates):
1 Cs 0.0000 0.0000 0.0000  4 F 2.95
2 Cs 0.7500 0.2500 0.5000  4 F 2.95
3 B 0.2500 0.7500 0.5000  4 F 2.02
4 B 0.5000 0.5000 0.0000  4 F 2.02
5 F 0.2857 0.6250 0.1607  2 B 2.02
6 F 0.3750 0.5357 0.6607  2 B 2.02
7 F 0.4643 0.1250 0.8393  2 B 2.02
8 F 0.8750 0.7143 0.3393  2 B 2.02

Properties
total moment = 0.00 μB per atom
space-group type = I-42d (122)
calculated total energy = -112.12 eV for the cell shown